No. 1
Computed, not measured: a PBEsol-optimized structure of MgSbRu2 at the meta-GGA SCAN level of DFT.

## Properties
ΔE to the lowest computed polymorph ... 0 meV/atom
M_tot ... 0.0 μB/f.u.
Formation energy (no corrections) ... -294 meV per atom
SG ... No. 225

Geometry as POSCAR:
```
MgSbRu2
1.0
0.000 3.115 3.115
3.115 0.000 3.115
3.115 3.115 0.000
Mg Sb Ru
1 1 2
direct
0.000 0.000 0.000
0.500 0.500 0.500
0.250 0.250 0.250
0.750 0.750 0.750
```

No. 2
Computed, not measured: a PBEsol-optimized structure of MgSbRu3 at the meta-GGA SCAN level of DFT.

## Properties
M_tot ... 0.8 μB/f.u.
Formation energy (no corrections) ... 1481 meV per atom
SG ... No. 221

Geometry as POSCAR:
```
MgSbRu3
1.0
4.421 0.000 0.000
0.000 4.421 0.000
0.000 0.000 4.421
Mg Sb Ru
1 1 3
direct
0.000 0.000 0.000
0.500 0.500 0.500
0.000 0.000 0.500
0.000 0.500 0.000
0.500 0.000 0.000
```

No. 3
Computed, not measured: a PBEsol-optimized structure of MgSbRu2 at the meta-GGA SCAN level of DFT.

## Properties
ΔE to the lowest computed polymorph ... 522 meV/atom
M_tot ... 2.3 μB/f.u.
Formation energy (no corrections) ... 229 meV per atom
SG ... No. 216

Geometry as POSCAR:
```
MgSbRu2
1.0
0.000 3.170 3.170
3.170 0.000 3.170
3.170 3.170 0.000
Mg Sb Ru
1 1 2
direct
0.000 0.000 0.000
0.250 0.250 0.250
0.500 0.500 0.500
0.750 0.750 0.750
```

No. 4
Computed, not measured: a PBEsol-optimized structure of MgSbRu2 at the meta-GGA SCAN level of DFT.

## Properties
ΔE to the lowest computed polymorph ... 212 meV/atom
M_tot ... 0.0 μB/f.u.
Formation energy (no corrections) ... -81 meV per atom
SG ... No. 8

Geometry as POSCAR:
```
MgSbRu2
1.0
4.791 -1.521 0.000
4.791 1.521 0.000
-1.555 0.000 4.318
Mg Sb Ru
1 1 2
direct
0.000 0.000 0.000
0.226 0.226 0.619
0.482 0.482 0.499
0.750 0.750 0.121
```